Record 1
The following is a PBE calculation of Ca8Ga2Si after structural relaxation, from the Alexandria database.

formation energy (no corrections): -0.21 eV/atom
ΔE to the lowest computed polymorph: 0.084 eV per atom

a = 5.168 Å, b = 8.190 Å, c = 9.077 Å
α = 116.82°, β = 106.54°, γ = 90.00°
Element x y z (fractional)
Ca  0.658  0.436  0.315
Si  0.500  0.000  0.000
Ga  0.188  0.688  0.376
Ga  0.812  0.312  0.624
Ca  0.147  0.147  0.295
Ca  0.000  0.306  0.000
Ca  0.658  0.879  0.315
Ca  0.000  0.694  0.000
Ca  0.342  0.564  0.685
Ca  0.853  0.853  0.705
Ca  0.342  0.121  0.685


Record 2
The following is a PBE calculation of Tb6Pm3Th after structural relaxation, from the Alexandria database.

ΔE to the lowest computed polymorph: 0.000 eV per atom
formation energy from the elements: 0.077 eV per atom

a = 3.546 Å, b = 13.146 Å, c = 14.396 Å
α = 100.35°, β = 90.00°, γ = 90.00°
Element x y z (fractional)
Pm  0.250  0.925  0.899
Tb  0.250  0.656  0.879
Pm  0.750  0.421  0.902
Th  0.250  0.959  0.279
Tb  0.750  0.119  0.486
Pm  0.750  0.627  0.504
Tb  0.750  0.810  0.080
Pm  0.250  0.373  0.496
Tb  0.750  0.344  0.121
Tb  0.750  0.501  0.691
Pm  0.750  0.075  0.101
Th  0.750  0.041  0.721
Tb  0.250  0.190  0.920
Pm  0.250  0.579  0.098
Tb  0.250  0.270  0.699
Tb  0.250  0.499  0.309
Tb  0.750  0.730  0.301
Tb  0.250  0.881  0.514
Tb  0.750  0.780  0.713
Tb  0.250  0.220  0.287


Record 3
The following is a PBE calculation of V5CoTc4 after structural relaxation, from the Alexandria database.

formation energy from the elements: -0.306 eV per atom

a = 3.020 Å, b = 3.020 Å, c = 14.848 Å
α = 90.00°, β = 90.00°, γ = 90.00°
Element x y z (fractional)
Tc  0.000  0.000  0.194
V  0.500  0.500  0.500
V  0.500  0.500  0.095
V  0.500  0.500  0.905
V  0.500  0.500  0.296
Co  0.000  0.000  0.000
Tc  0.000  0.000  0.398
Tc  0.000  0.000  0.806
Tc  0.000  0.000  0.602
V  0.500  0.500  0.704